Material: CdGa2P2
Method: DFT, GGA-PBE
State: relaxed

Energy of formation from the pure elements (eV/atom): 0.199
M_tot (Bohr magnetons per cell): 0.00

a = 7.331 Å, b = 7.331 Å, c = 3.469 Å
α = 90.00°, β = 90.00°, γ = 90.00°
Atoms (fractional coordinates):
P: 0.838 0.662 0.000
P: 0.338 0.838 0.000
Ga: 0.360 0.140 0.500
Cd: 0.000 0.000 0.000
Cd: 0.500 0.500 0.000
Ga: 0.860 0.360 0.500
Ga: 0.140 0.640 0.500
P: 0.662 0.162 0.000
P: 0.162 0.338 0.000
Ga: 0.640 0.860 0.500